Record 1
Compound: Sr2BAs
Source: Alexandria via LeMat-Bulk
Functional: PBE-GGA
Structure: optimized geometry

a = 7.393 Å, b = 7.393 Å, c = 7.393 Å
α = 90.00°, β = 90.00°, γ = 90.00°
Space group Fm-3m (No. 225)
Asymmetric unit:
Sr1 0.250 0.250 0.250 x8
B1 0.000 0.000 0.000 x4
As1 0.000 0.000 0.500 x4

## Properties
formation energy: 0.3 eV per formula unit
relative energy among the computed polymorphs: 0.0 meV per atom

---

Record 2
Compound: Dy5Al2Ga2
Source: Alexandria via LeMat-Bulk
Functional: PBE-GGA
Structure: optimized geometry

a = 15.562 Å, b = 8.032 Å, c = 7.399 Å
α = 90.00°, β = 90.00°, γ = 90.00°
Space group Cmce (No. 64)
Asymmetric unit:
Dy1 0.000 0.000 0.000 x4
Dy2 0.143 0.186 0.330 x16
Al1 0.000 0.124 0.613 x8
Ga1 0.208 0.000 0.000 x8

## Properties
formation energy: -3.6 eV per formula unit